Computed, not measured: a relaxed Ce3NiGe3 crystal at the PBE level of DFT.

Cell and atoms, written as CIF:
```
data_Ce3NiGe3
_symmetry_space_group_name_H-M 'P 1'
_symmetry_Int_Tables_number 1
_symmetry_space_group_name_Hall 'P 1'
_cell_length_a 5.820
_cell_length_b 8.575
_cell_length_c 8.316
_cell_angle_alpha 118.38
_cell_angle_beta 90.00
_cell_angle_gamma 90.00
loop_
_atom_site_label
_atom_site_fract_x
_atom_site_fract_y
_atom_site_fract_z
Ce1 0.250 0.296 0.890
Ce2 0.250 0.052 0.335
Ce3 0.750 0.704 0.110
Ce4 0.750 0.402 0.332
Ce5 0.250 0.598 0.668
Ce6 0.750 0.948 0.665
Ni1 0.750 0.350 0.689
Ni2 0.250 0.650 0.311
Ge1 0.250 0.355 0.264
Ge2 0.750 0.316 0.954
Ge3 0.250 0.684 0.046
Ge4 0.750 0.094 0.406
Ge5 0.250 0.906 0.594
Ge6 0.750 0.645 0.736
```

## Properties
* energy relative to the lowest polymorph listed for this composition: 291 meV per atom
* space-group type: P2_1/m

=====

Computed, not measured: a relaxed Ce11Ni4Ge9 crystal at the PBE level of DFT.

Cell and atoms, written as CIF:
```
data_Ce11Ni4Ge9
_symmetry_space_group_name_H-M 'P 1'
_symmetry_Int_Tables_number 1
_symmetry_space_group_name_Hall 'P 1'
_cell_length_a 3.997
_cell_length_b 11.739
_cell_length_c 11.739
_cell_angle_alpha 112.22
_cell_angle_beta 90.00
_cell_angle_gamma 90.00
loop_
_atom_site_label
_atom_site_fract_x
_atom_site_fract_y
_atom_site_fract_z
Ge1 0.500 0.835 0.374
Ge2 0.500 0.500 0.500
Ge3 0.500 0.165 0.626
Ge4 0.500 0.374 0.835
Ge5 0.500 0.777 0.922
Ge6 0.500 0.922 0.777
Ge7 0.500 0.078 0.223
Ge8 0.500 0.626 0.165
Ge9 0.500 0.223 0.078
Ce1 0.000 0.943 0.587
Ce2 0.000 0.309 0.309
Ce3 0.000 0.165 0.835
Ce4 0.000 0.057 0.413
Ce5 0.000 0.000 0.000
Ce6 0.000 0.587 0.943
Ce7 0.000 0.373 0.627
Ce8 0.000 0.413 0.057
Ce9 0.000 0.627 0.373
Ce10 0.000 0.691 0.691
Ce11 0.000 0.835 0.165
Ni1 0.500 0.756 0.554
Ni2 0.500 0.446 0.244
Ni3 0.500 0.244 0.446
Ni4 0.500 0.554 0.756
```

## Properties
* space-group type: Cmmm
* total DFT energy (no corrections): -145.2 eV per cell

=====

Computed, not measured: a relaxed CeNiGe2 crystal at the PBE level of DFT.

Cell and atoms, written as CIF:
```
data_CeNiGe2
_symmetry_space_group_name_H-M 'P 1'
_symmetry_Int_Tables_number 1
_symmetry_space_group_name_Hall 'P 1'
_cell_length_a 4.225
_cell_length_b 4.225
_cell_length_c 5.388
_cell_angle_alpha 113.02
_cell_angle_beta 113.08
_cell_angle_gamma 90.00
loop_
_atom_site_label
_atom_site_fract_x
_atom_site_fract_y
_atom_site_fract_z
Ge1 0.201 0.074 0.401
Ge2 0.924 0.800 0.849
Ni1 0.813 0.188 0.625
Ce1 0.562 0.438 0.125
```

## Properties
* space-group type: Cm
* total DFT energy (no corrections): -23.1 eV per cell

=====

Computed, not measured: a relaxed CeNi5Ge3 crystal at the PBE level of DFT.

Cell and atoms, written as CIF:
```
data_CeNi5Ge3
_symmetry_space_group_name_H-M 'P 1'
_symmetry_Int_Tables_number 1
_symmetry_space_group_name_Hall 'P 1'
_cell_length_a 3.762
_cell_length_b 6.347
_cell_length_c 11.799
_cell_angle_alpha 90.00
_cell_angle_beta 90.00
_cell_angle_gamma 107.24
loop_
_atom_site_label
_atom_site_fract_x
_atom_site_fract_y
_atom_site_fract_z
Ni1 0.000 0.000 0.000
Ni2 0.552 0.104 0.855
Ni3 0.806 0.613 0.435
Ni4 0.000 0.000 0.500
Ni5 0.806 0.613 0.065
Ni6 0.448 0.896 0.145
Ni7 0.194 0.387 0.935
Ni8 0.194 0.387 0.565
Ni9 0.552 0.104 0.645
Ni10 0.448 0.896 0.355
Ge1 0.381 0.761 0.545
Ge2 0.619 0.239 0.455
Ge3 0.116 0.232 0.750
Ge4 0.381 0.761 0.955
Ge5 0.884 0.768 0.250
Ge6 0.619 0.239 0.045
Ce1 0.840 0.680 0.750
Ce2 0.160 0.320 0.250
```

## Properties
* space-group type: Cmcm
* total DFT energy (no corrections): -106.1 eV per cell

=====

Computed, not measured: a relaxed Ce3Ni7Ge2 crystal at the PBE level of DFT.

Cell and atoms, written as CIF:
```
data_Ce3Ni7Ge2
_symmetry_space_group_name_H-M 'P 1'
_symmetry_Int_Tables_number 1
_symmetry_space_group_name_Hall 'P 1'
_cell_length_a 3.896
_cell_length_b 3.896
_cell_length_c 13.294
_cell_angle_alpha 98.43
_cell_angle_beta 98.43
_cell_angle_gamma 90.00
loop_
_atom_site_label
_atom_site_fract_x
_atom_site_fract_y
_atom_site_fract_z
Ni1 0.220 0.220 0.441
Ni2 0.573 0.073 0.146
Ni3 0.780 0.780 0.559
Ni4 0.427 0.927 0.854
Ni5 0.000 0.000 0.000
Ni6 0.927 0.427 0.854
Ni7 0.073 0.573 0.146
Ce1 0.325 0.325 0.651
Ce2 0.500 0.500 0.000
Ce3 0.675 0.675 0.349
Ge1 0.875 0.875 0.751
Ge2 0.125 0.125 0.249
```

## Properties
* space-group type: I4/mmm
* total DFT energy (no corrections): -71.8 eV per cell

=====

Computed, not measured: a relaxed CeNiGe2 crystal at the PBE level of DFT.

Cell and atoms, written as CIF:
```
data_CeNiGe2
_symmetry_space_group_name_H-M 'P 1'
_symmetry_Int_Tables_number 1
_symmetry_space_group_name_Hall 'P 1'
_cell_length_a 4.192
_cell_length_b 6.809
_cell_length_c 10.464
_cell_angle_alpha 90.00
_cell_angle_beta 90.00
_cell_angle_gamma 90.00
loop_
_atom_site_label
_atom_site_fract_x
_atom_site_fract_y
_atom_site_fract_z
Ce1 0.250 0.822 0.129
Ce2 0.250 0.322 0.371
Ce3 0.750 0.178 0.871
Ce4 0.750 0.678 0.629
Ni1 0.250 0.005 0.638
Ni2 0.750 0.495 0.138
Ni3 0.750 0.995 0.362
Ni4 0.250 0.505 0.862
Ge1 0.250 0.345 0.067
Ge2 0.250 0.357 0.663
Ge3 0.750 0.155 0.567
Ge4 0.750 0.643 0.337
Ge5 0.250 0.857 0.837
Ge6 0.750 0.143 0.163
Ge7 0.750 0.655 0.933
Ge8 0.250 0.845 0.433
```

## Properties
* space-group type: Pnma
* total DFT energy (no corrections): -94.9 eV per cell

=====

Number 1: DOS at the Fermi energy 18.059 states/eV/cell, total moment 0.63 μB per formula unit. Number 2: DOS at the Fermi energy 42.440 states/eV/cell, total moment 4.49 μB per formula unit. Number 3: DOS at the Fermi energy 6.149 states/eV/cell, total moment 0.82 μB per formula unit. Number 4: DOS at the Fermi energy 21.111 states/eV/cell, total moment 0.82 μB per formula unit. Number 5: DOS at the Fermi energy 13.612 states/eV/cell, total moment 0.90 μB per formula unit. Number 6: DOS at the Fermi energy 19.641 states/eV/cell, total moment 0.42 μB per formula unit.